Computed, not measured: crystalline Ac2FeMoO8 at its relaxed geometry at the PBE+U level of DFT.

Magnetization, μB/f.u.: 4.00
Space-group type: P-1
Electronic total energy, eV for the cell shown: -86.33

```
12
Lattice="4.508 0.000 0.000 0.581 5.491 0.000 0.302 0.654 7.076" Properties=species:S:1:pos:R:3 pbc="T T T"
Ac 0.935 0.230 1.813
Ac 4.457 5.915 5.264
Fe 2.545 2.746 0.000
Mo 2.696 3.072 3.538
O 1.447 4.429 3.950
O 1.735 2.746 1.711
O 2.157 5.055 6.739
O 1.733 1.711 4.480
O 3.659 4.433 2.597
O 3.235 1.089 0.338
O 3.657 3.399 5.365
O 3.945 1.716 3.126
```